A relaxed structure of Li2ZnAu2, computed with PBE.

Computed properties:
N(E_F)	1.5	states/eV/cell
energy of formation	-0.217	eV/atom
symmetry	I4/mmm
energy above the most stable polymorph in this dataset	0.229	eV/atom
total magnetization	0.0	μB/f.u.

Cell: 7.046 7.046 7.046 Å, 150.36 150.36 42.41°
Fractional positions:
Li 0.250 0.750 0.500
Li 0.750 0.250 0.500
Zn 0.000 0.000 0.000
Au 0.395 0.395 0.000
Au 0.605 0.605 0.000